Computed, not measured: BaHgS3 after structural relaxation at the GGA-PBE level of DFT.

a = 5.0875 Å, b = 5.0875 Å, c = 5.0875 Å
α = 90.00°, β = 90.00°, γ = 90.00°
Closest atoms and distances in Å follow each position.
Fractional positions:
S 0.0000 0.0000 0.5000  2 Hg 2.54
Ba 0.5000 0.5000 0.5000  12 S 3.60
S 0.5000 0.0000 0.0000  2 Hg 2.54
Hg 0.0000 0.0000 0.0000  6 S 2.54
S 0.0000 0.5000 0.0000  2 Hg 2.54

spin magnetization = 0.0 μB per cell
calculated volume = 26.3 Å³ per atom
uncorrected formation energy = -494 meV per atom
N(E_F) = 4.57 states/eV/cell
E above lowest polymorph = 0.000 eV/atom
crystal system = cubic

Computed, not measured: LaSbIr2 after structural relaxation at the GGA-PBE level of DFT.

a = 5.7978 Å, b = 5.7978 Å, c = 7.9908 Å
α = 68.73°, β = 68.73°, γ = 90.00°
Closest atoms and distances in Å follow each position.
Fractional positions:
La 0.7500 0.2500 0.5000  4 Ir 2.80
Ir 0.8750 0.8351 0.7500  2 Sb 2.55, 2 La 2.80
Ir 0.1649 0.6250 0.2500  2 Sb 2.55, 2 La 2.80
Ir 0.5851 0.1250 0.2500  2 Sb 2.55, 2 La 2.80
Ir 0.3750 0.4149 0.7500  2 Sb 2.55, 2 La 2.80
Sb 0.5000 0.5000 0.0000  4 Ir 2.55
Sb 0.2500 0.7500 0.5000  4 Ir 2.55
La 0.0000 0.0000 0.0000  4 Ir 2.80

spin magnetization = 0.0 μB per cell
calculated volume = 28.8 Å³ per atom
uncorrected formation energy = 89 meV per atom
N(E_F) = 2.81 states/eV/cell
crystal system = tetragonal